Entry 1:
A plane-wave DFT calculation with PBE-GGA was carried out for crystalline Mg4ScGa2 at its relaxed geometry.

Computed properties:
The formation energy comes out at -141 meV per atom.

CIF file:
```
data_Mg4ScGa2
_chemical_formula_sum 'Mg4 Sc1 Ga2'
_cell_length_a 4.018
_cell_length_b 4.366
_cell_length_c 8.653
_cell_angle_alpha 104.61
_cell_angle_beta 90.00
_cell_angle_gamma 90.00
_space_group_name_H-M_alt 'P 1'
_space_group_IT_number 1
_space_group_name_Hall 'P 1'
loop_
_atom_site_label
_atom_site_type_symbol
_atom_site_fract_x
_atom_site_fract_y
_atom_site_fract_z
Mg1 Mg 0.500 0.829 0.658
Mg2 Mg 0.000 0.682 0.365
Mg3 Mg 0.500 0.171 0.342
Mg4 Mg 0.000 0.318 0.635
Sc1 Sc 0.000 0.000 0.000
Ga1 Ga 0.500 0.571 0.143
Ga2 Ga 0.500 0.429 0.857
```

***

Entry 2:
A plane-wave DFT calculation with PBE-GGA was carried out for crystalline FeCu2Tc at its relaxed geometry.

Computed properties:
Its excess energy over the best structure of this formula in the dataset is 0.085 eV per atom. The formation energy comes out at 236 meV per atom.

CIF file:
```
data_FeCu2Tc
_chemical_formula_sum 'Fe1 Cu2 Tc1'
_cell_length_a 2.497
_cell_length_b 3.952
_cell_length_c 5.125
_cell_angle_alpha 90.00
_cell_angle_beta 90.00
_cell_angle_gamma 90.00
_space_group_name_H-M_alt 'P 1'
_space_group_IT_number 1
_space_group_name_Hall 'P 1'
loop_
_atom_site_label
_atom_site_type_symbol
_atom_site_fract_x
_atom_site_fract_y
_atom_site_fract_z
Cu1 Cu 0.000 0.000 0.005
Cu2 Cu 0.000 0.000 0.495
Fe1 Fe 0.500 0.500 0.250
Tc1 Tc 0.500 0.500 0.750
```

***

Entry 3:
A plane-wave DFT calculation with PBE-GGA was carried out for crystalline Re2WCl at its relaxed geometry.

Computed properties:
Its excess energy over the best structure of this formula in the dataset is 0.524 eV per atom.

CIF file:
```
data_Re2WCl
_chemical_formula_sum 'Re2 W1 Cl1'
_cell_length_a 2.879
_cell_length_b 4.620
_cell_length_c 4.619
_cell_angle_alpha 90.00
_cell_angle_beta 90.00
_cell_angle_gamma 90.00
_space_group_name_H-M_alt 'P 1'
_space_group_IT_number 1
_space_group_name_Hall 'P 1'
loop_
_atom_site_label
_atom_site_type_symbol
_atom_site_fract_x
_atom_site_fract_y
_atom_site_fract_z
Cl1 Cl 0.000 0.500 0.500
Re1 Re 0.000 0.000 0.000
Re2 Re 0.500 0.500 0.000
W1 W 0.500 0.000 0.500
```

***

Entry 4:
A plane-wave DFT calculation with PBE-GGA was carried out for crystalline Tm3Rh at its relaxed geometry.

Computed properties:
The formation energy comes out at -514 meV per atom.

CIF file:
```
data_Tm3Rh
_chemical_formula_sum 'Tm24 Rh8'
_cell_length_a 6.210
_cell_length_b 11.395
_cell_length_c 11.395
_cell_angle_alpha 90.00
_cell_angle_beta 90.00
_cell_angle_gamma 90.00
_space_group_name_H-M_alt 'P 1'
_space_group_IT_number 1
_space_group_name_Hall 'P 1'
loop_
_atom_site_label
_atom_site_type_symbol
_atom_site_fract_x
_atom_site_fract_y
_atom_site_fract_z
Tm1 Tm 0.049 0.286 0.842
Tm2 Tm 0.049 0.714 0.158
Tm3 Tm 0.549 0.658 0.786
Tm4 Tm 0.549 0.342 0.214
Tm5 Tm 0.451 0.214 0.658
Tm6 Tm 0.451 0.786 0.342
Tm7 Tm 0.951 0.842 0.714
Tm8 Tm 0.951 0.158 0.286
Tm9 Tm 0.557 0.366 0.915
Tm10 Tm 0.557 0.634 0.085
Tm11 Tm 0.057 0.585 0.866
Tm12 Tm 0.057 0.415 0.134
Tm13 Tm 0.943 0.134 0.585
Tm14 Tm 0.943 0.866 0.415
Tm15 Tm 0.443 0.915 0.634
Tm16 Tm 0.443 0.085 0.366
Tm17 Tm 0.726 0.057 0.866
Tm18 Tm 0.726 0.943 0.134
Tm19 Tm 0.226 0.634 0.557
Tm20 Tm 0.226 0.366 0.443
Tm21 Tm 0.774 0.443 0.634
Tm22 Tm 0.774 0.557 0.366
Tm23 Tm 0.274 0.866 0.943
Tm24 Tm 0.274 0.134 0.057
Rh1 Rh 0.764 0.807 0.934
Rh2 Rh 0.764 0.193 0.066
Rh3 Rh 0.264 0.566 0.307
Rh4 Rh 0.264 0.434 0.693
Rh5 Rh 0.736 0.693 0.566
Rh6 Rh 0.736 0.307 0.434
Rh7 Rh 0.236 0.934 0.193
Rh8 Rh 0.236 0.066 0.807
```

***

Entry 5:
A plane-wave DFT calculation with PBE-GGA was carried out for crystalline SrAcPmIn at its relaxed geometry.

Computed properties:
The formation energy comes out at 17 meV per atom.

CIF file:
```
data_SrAcPmIn
_chemical_formula_sum 'Sr1 Ac1 Pm1 In1'
_cell_length_a 5.885
_cell_length_b 5.885
_cell_length_c 5.885
_cell_angle_alpha 60.00
_cell_angle_beta 60.00
_cell_angle_gamma 60.00
_space_group_name_H-M_alt 'P 1'
_space_group_IT_number 1
_space_group_name_Hall 'P 1'
loop_
_atom_site_label
_atom_site_type_symbol
_atom_site_fract_x
_atom_site_fract_y
_atom_site_fract_z
Sr1 Sr 0.500 0.500 0.500
Ac1 Ac 0.250 0.250 0.250
In1 In 0.750 0.750 0.750
Pm1 Pm 0.000 0.000 0.000
```

***

Entry 6:
A plane-wave DFT calculation with PBE-GGA was carried out for crystalline V2Cr2C3 at its relaxed geometry.

Computed properties:
The formation energy comes out at -306 meV per atom.

CIF file:
```
data_V2Cr2C3
_chemical_formula_sum 'V2 Cr2 C3'
_cell_length_a 2.906
_cell_length_b 5.042
_cell_length_c 5.052
_cell_angle_alpha 103.28
_cell_angle_beta 106.71
_cell_angle_gamma 90.00
_space_group_name_H-M_alt 'P 1'
_space_group_IT_number 1
_space_group_name_Hall 'P 1'
loop_
_atom_site_label
_atom_site_type_symbol
_atom_site_fract_x
_atom_site_fract_y
_atom_site_fract_z
V1 V 0.623 0.877 0.245
V2 V 0.377 0.123 0.755
Cr1 Cr 0.855 0.648 0.709
Cr2 Cr 0.145 0.352 0.291
C1 C 0.000 0.000 0.000
C2 C 0.757 0.254 0.513
C3 C 0.243 0.746 0.487
```

***

Entry 7:
A plane-wave DFT calculation with PBE-GGA was carried out for crystalline NdHf2H8 at its relaxed geometry.

CIF file:
```
data_NdHf2H8
_chemical_formula_sum 'Nd1 Hf2 H8'
_cell_length_a 3.634
_cell_length_b 5.535
_cell_length_c 5.535
_cell_angle_alpha 113.73
_cell_angle_beta 92.67
_cell_angle_gamma 92.67
_space_group_name_H-M_alt 'P 1'
_space_group_IT_number 1
_space_group_name_Hall 'P 1'
loop_
_atom_site_label
_atom_site_type_symbol
_atom_site_fract_x
_atom_site_fract_y
_atom_site_fract_z
Nd1 Nd 0.500 0.000 0.000
Hf1 Hf 0.000 0.332 0.668
Hf2 Hf 0.000 0.668 0.332
H1 H 0.970 0.971 0.687
H2 H 0.970 0.687 0.971
H3 H 0.286 0.609 0.609
H4 H 0.500 0.749 0.251
H5 H 0.500 0.251 0.749
H6 H 0.714 0.391 0.391
H7 H 0.030 0.313 0.029
H8 H 0.030 0.029 0.313
```

***

Entry 8:
A plane-wave DFT calculation with PBE-GGA was carried out for crystalline NaSb2H at its relaxed geometry.

Computed properties:
Its excess energy over the best structure of this formula in the dataset is 0.279 eV per atom.

CIF file:
```
data_NaSb2H
_chemical_formula_sum 'Na2 Sb4 H2'
_cell_length_a 6.128
_cell_length_b 6.128
_cell_length_c 7.076
_cell_angle_alpha 64.34
_cell_angle_beta 64.34
_cell_angle_gamma 90.00
_space_group_name_H-M_alt 'P 1'
_space_group_IT_number 1
_space_group_name_Hall 'P 1'
loop_
_atom_site_label
_atom_site_type_symbol
_atom_site_fract_x
_atom_site_fract_y
_atom_site_fract_z
Sb1 Sb 0.432 0.125 0.250
Sb2 Sb 0.318 0.625 0.250
Sb3 Sb 0.375 0.568 0.750
Sb4 Sb 0.875 0.682 0.750
H1 H 0.500 0.500 0.000
H2 H 0.250 0.750 0.500
Na1 Na 0.000 0.000 0.000
Na2 Na 0.750 0.250 0.500
```

***

Entry 9:
A plane-wave DFT calculation with PBE-GGA was carried out for crystalline Tb4Pr3ErSe8 at its relaxed geometry.

CIF file:
```
data_Tb4Pr3ErSe8
_chemical_formula_sum 'Tb4 Pr3 Er1 Se8'
_cell_length_a 8.289
_cell_length_b 8.332
_cell_length_c 8.288
_cell_angle_alpha 119.82
_cell_angle_beta 120.02
_cell_angle_gamma 89.98
_space_group_name_H-M_alt 'P 1'
_space_group_IT_number 1
_space_group_name_Hall 'P 1'
loop_
_atom_site_label
_atom_site_type_symbol
_atom_site_fract_x
_atom_site_fract_y
_atom_site_fract_z
Tb1 Tb 0.500 0.000 0.000
Tb2 Tb 0.500 0.000 0.500
Tb3 Tb 0.000 0.000 0.000
Tb4 Tb 0.000 0.000 0.500
Pr1 Pr 0.500 0.500 0.000
Pr2 Pr 0.500 0.500 0.500
Pr3 Pr 0.000 0.500 0.500
Er1 Er 0.000 0.500 0.000
Se1 Se 0.248 0.758 0.010
Se2 Se 0.248 0.758 0.496
Se3 Se 0.245 0.234 0.489
Se4 Se 0.762 0.758 0.010
Se5 Se 0.238 0.242 0.990
Se6 Se 0.755 0.766 0.511
Se7 Se 0.752 0.242 0.504
Se8 Se 0.752 0.242 0.990
```

***

Entry 10:
A plane-wave DFT calculation with PBE-GGA was carried out for crystalline LiTiHgPb at its relaxed geometry.

Computed properties:
The formation energy comes out at -41 meV per atom.

CIF file:
```
data_LiTiHgPb
_chemical_formula_sum 'Li1 Ti1 Hg1 Pb1'
_cell_length_a 4.871
_cell_length_b 4.871
_cell_length_c 4.871
_cell_angle_alpha 60.00
_cell_angle_beta 60.00
_cell_angle_gamma 60.00
_space_group_name_H-M_alt 'P 1'
_space_group_IT_number 1
_space_group_name_Hall 'P 1'
loop_
_atom_site_label
_atom_site_type_symbol
_atom_site_fract_x
_atom_site_fract_y
_atom_site_fract_z
Pb1 Pb 0.250 0.250 0.250
Li1 Li 0.000 0.000 0.000
Hg1 Hg 0.750 0.750 0.750
Ti1 Ti 0.500 0.500 0.500
```

***

Entry 11:
A plane-wave DFT calculation with PBE-GGA was carried out for crystalline Tb2Tm4Pu at its relaxed geometry.

Computed properties:
The formation energy comes out at 48 meV per atom.

CIF file:
```
data_Tb2Tm4Pu
_chemical_formula_sum 'Tb2 Tm4 Pu1'
_cell_length_a 3.538
_cell_length_b 3.538
_cell_length_c 19.738
_cell_angle_alpha 95.14
_cell_angle_beta 90.00
_cell_angle_gamma 120.00
_space_group_name_H-M_alt 'P 1'
_space_group_IT_number 1
_space_group_name_Hall 'P 1'
loop_
_atom_site_label
_atom_site_type_symbol
_atom_site_fract_x
_atom_site_fract_y
_atom_site_fract_z
Tb1 Tb 0.620 0.239 0.094
Tb2 Tb 0.715 0.430 0.383
Tm1 Tm 0.904 0.809 0.949
Tm2 Tm 0.429 0.859 0.528
Tm3 Tm 0.001 0.002 0.238
Tm4 Tm 0.523 0.046 0.808
Pu1 Pu 0.809 0.618 0.668
```

***

Entry 12:
A plane-wave DFT calculation with PBE-GGA was carried out for crystalline RbNaInSn at its relaxed geometry.

Computed properties:
Its excess energy over the best structure of this formula in the dataset is 0.059 eV per atom. The formation energy comes out at -55 meV per atom.

CIF file:
```
data_RbNaInSn
_chemical_formula_sum 'Rb1 Na1 In1 Sn1'
_cell_length_a 5.648
_cell_length_b 5.648
_cell_length_c 5.648
_cell_angle_alpha 60.00
_cell_angle_beta 60.00
_cell_angle_gamma 60.00
_space_group_name_H-M_alt 'P 1'
_space_group_IT_number 1
_space_group_name_Hall 'P 1'
loop_
_atom_site_label
_atom_site_type_symbol
_atom_site_fract_x
_atom_site_fract_y
_atom_site_fract_z
Na1 Na 0.250 0.250 0.250
Sn1 Sn 0.000 0.000 0.000
Rb1 Rb 0.500 0.500 0.500
In1 In 0.750 0.750 0.750
```

***

Number 1: calculated total energy -2.822 eV/atom. Number 2: calculated total energy -6.519 eV/atom. Number 3: calculated total energy -8.947 eV/atom. Number 4: calculated total energy -5.705 eV/atom. Number 5: calculated total energy -3.302 eV/atom. Number 6: calculated total energy -9.614 eV/atom. Number 7: calculated total energy -5.083 eV/atom. Number 8: calculated total energy -2.989 eV/atom. Number 9: calculated total energy -5.862 eV/atom. Number 10: calculated total energy -3.495 eV/atom. Number 11: calculated total energy -5.877 eV/atom. Number 12: calculated total energy -2.312 eV/atom.